Computed, not measured: crystalline SnAs2S6 at its relaxed geometry at the PBE level of DFT.

Density   3.5 Mg/m³
Total DFT energy (no corrections)   -75.31 eV for the cell shown
Total moment   0.0 μB/f.u.

Lattice parameters (Å, degrees): 6.1808 6.7386 12.0161 90.00 119.49 90.00
Space group P2_1/c (No. 14)
Symmetry-distinct sites (fractional):
Sn 0.0000 0.0000 0.0000 [2 per cell]
As 0.2933 0.0682 0.7892 [4 per cell]
S 0.0415 0.6935 0.8812 [4 per cell]
S 0.2928 0.2164 0.9572 [4 per cell]
S 0.3623 0.6677 0.7092 [4 per cell]